No. 1
HOsN2O | PBE-GGA | relaxed

- size of the total moment (μB/atom) = 0.176
- uncorrected energy (eV/atom) = -6.310

The structure in CIF format:
```
data_HOsN2O
_chemical_formula_sum 'H1 Os1 N2 O1'
_cell_length_a 3.8055
_cell_length_b 3.8055
_cell_length_c 3.8435
_cell_angle_alpha 90.00
_cell_angle_beta 90.00
_cell_angle_gamma 90.00
_symmetry_space_group_name_H-M 'P 4/m m m'
_symmetry_Int_Tables_number 123
_symmetry_space_group_name_Hall '-P 4 2'
loop_
_atom_site_label
_atom_site_fract_x
_atom_site_fract_y
_atom_site_fract_z
H1 0.0000 0.0000 0.0000
Os1 0.5000 0.5000 0.5000
N1 0.0000 0.5000 0.5000
O1 0.5000 0.5000 0.0000
```

***

No. 2
HOsN2O | PBE-GGA | relaxed

- size of the total moment (μB/atom) = 0.000
- uncorrected energy (eV/atom) = -5.426

The structure in CIF format:
```
data_HOsN2O
_chemical_formula_sum 'H1 Os1 N2 O1'
_cell_length_a 3.0225
_cell_length_b 3.0225
_cell_length_c 4.1381
_cell_angle_alpha 90.00
_cell_angle_beta 90.00
_cell_angle_gamma 90.00
_symmetry_space_group_name_H-M 'P 4/m m m'
_symmetry_Int_Tables_number 123
_symmetry_space_group_name_Hall '-P 4 2'
loop_
_atom_site_label
_atom_site_fract_x
_atom_site_fract_y
_atom_site_fract_z
H1 0.0000 0.0000 0.0000
Os1 0.5000 0.5000 0.5000
N1 0.0000 0.5000 0.0000
O1 0.0000 0.0000 0.5000
```